Ca2MgF: relaxed, PBE.

Calculated values
- Uncorrected formation energy: -998 meV per atom
- SG: R-3m (166)
- Final energy: -2.865 eV per atom
- Polymorph energy (0 for the lowest one): 315.1 meV per atom

```
data_Ca2MgF
_chemical_formula_sum 'Ca2 Mg1 F1'
_space_group_name_H-M_alt 'P 1'
_space_group_IT_number 1
_space_group_name_Hall 'P 1'
_cell_length_a 10.0825
_cell_length_b 10.0825
_cell_length_c 10.0825
_cell_angle_alpha 20.42
_cell_angle_beta 20.42
_cell_angle_gamma 20.42
loop_
_atom_site_label
_atom_site_fract_x
_atom_site_fract_y
_atom_site_fract_z
_atom_site_occupancy
Ca1 0.1113 0.1113 0.1113 1
Ca2 0.8887 0.8887 0.8887 1
Mg1 0.0000 0.0000 0.0000 1
F1 0.5000 0.5000 0.5000 1
```